No. 1
# K4Ce3PrTe8 | the Alexandria database | GGA-PBE | relaxed
data_K4Ce3PrTe8
_chemical_formula_sum 'K4 Ce3 Pr1 Te8'
_symmetry_space_group_name_H-M 'P 1'
_symmetry_Int_Tables_number 1
_cell_length_a 9.8264
_cell_length_b 9.8264
_cell_length_c 9.8264
_cell_angle_alpha 56.60
_cell_angle_beta 56.60
_cell_angle_gamma 56.60
loop_
_symmetry_equiv_pos_as_xyz
'x,y,z'
loop_
_atom_site_label
_atom_site_fract_x
_atom_site_fract_y
_atom_site_fract_z
K1 0.0000 0.0000 0.0000
K2 0.0000 0.5000 0.5000
K3 0.5000 0.0000 0.5000
K4 0.5000 0.5000 0.0000
Ce1 0.0000 0.0000 0.5000
Ce2 0.0000 0.5000 0.0000
Ce3 0.5000 0.0000 0.0000
Pr1 0.5000 0.5000 0.5000
Te1 0.2379 0.2379 0.2379
Te2 0.2376 0.7386 0.7386
Te3 0.2614 0.2614 0.7624
Te4 0.2614 0.7624 0.2614
Te5 0.7386 0.2376 0.7386
Te6 0.7386 0.7386 0.2376
Te7 0.7624 0.2614 0.2614
Te8 0.7621 0.7621 0.7621
# raw total energy = -0.3397 Ry/atom
# uncorrected formation energy = -1.3647 eV per atom



No. 2
# KCe2Pr3Te6 | the Alexandria database | GGA-PBE | relaxed
data_KCe2Pr3Te6
_chemical_formula_sum 'K1 Ce2 Pr3 Te6'
_symmetry_space_group_name_H-M 'P 1'
_symmetry_Int_Tables_number 1
_cell_length_a 10.2307
_cell_length_b 10.2307
_cell_length_c 9.2554
_cell_angle_alpha 103.34
_cell_angle_beta 103.34
_cell_angle_gamma 25.51
loop_
_symmetry_equiv_pos_as_xyz
'x,y,z'
loop_
_atom_site_label
_atom_site_fract_x
_atom_site_fract_y
_atom_site_fract_z
K1 0.0000 0.0000 0.0000
Ce1 0.3311 0.3311 0.6621
Ce2 0.6689 0.6689 0.3379
Pr1 0.0000 0.0000 0.5000
Pr2 0.3373 0.3373 0.1749
Pr3 0.6627 0.6627 0.8251
Te1 0.1662 0.1662 0.5812
Te2 0.1713 0.1713 0.0857
Te3 0.4966 0.4966 0.7394
Te4 0.5034 0.5034 0.2606
Te5 0.8287 0.8287 0.9143
Te6 0.8338 0.8338 0.4188
# raw total energy = -0.3847 Ry/atom
# uncorrected formation energy = -1.3874 eV per atom



No. 3
# KCe3Pr2Te6 | the Alexandria database | GGA-PBE | relaxed
data_KCe3Pr2Te6
_chemical_formula_sum 'K1 Ce3 Pr2 Te6'
_symmetry_space_group_name_H-M 'P 1'
_symmetry_Int_Tables_number 1
_cell_length_a 10.2351
_cell_length_b 10.2351
_cell_length_c 9.2330
_cell_angle_alpha 103.33
_cell_angle_beta 103.33
_cell_angle_gamma 25.50
loop_
_symmetry_equiv_pos_as_xyz
'x,y,z'
loop_
_atom_site_label
_atom_site_fract_x
_atom_site_fract_y
_atom_site_fract_z
K1 0.0000 0.0000 0.0000
Ce1 0.0000 0.0000 0.5000
Ce2 0.3358 0.3358 0.1696
Ce3 0.6642 0.6642 0.8304
Pr1 0.3293 0.3293 0.6573
Pr2 0.6707 0.6707 0.3427
Te1 0.1644 0.1644 0.5864
Te2 0.1713 0.1713 0.0860
Te3 0.4978 0.4978 0.7372
Te4 0.5022 0.5022 0.2628
Te5 0.8287 0.8287 0.9140
Te6 0.8356 0.8356 0.4136
# raw total energy = -0.3903 Ry/atom
# uncorrected formation energy = -1.3681 eV per atom



No. 4
# KCePr2Te4 | the Alexandria database | GGA-PBE | relaxed
data_KCePr2Te4
_chemical_formula_sum 'K1 Ce1 Pr2 Te4'
_symmetry_space_group_name_H-M 'P 1'
_symmetry_Int_Tables_number 1
_cell_length_a 7.9970
_cell_length_b 4.5496
_cell_length_c 8.0247
_cell_angle_alpha 90.00
_cell_angle_beta 108.76
_cell_angle_gamma 90.00
loop_
_symmetry_equiv_pos_as_xyz
'x,y,z'
loop_
_atom_site_label
_atom_site_fract_x
_atom_site_fract_y
_atom_site_fract_z
K1 0.0000 0.0000 0.0000
Ce1 0.5000 0.5000 0.0000
Pr1 0.0000 0.5000 0.5000
Pr2 0.5000 0.0000 0.5000
Te1 0.2548 0.0000 0.7473
Te2 0.2612 0.5000 0.2605
Te3 0.7388 0.5000 0.7395
Te4 0.7452 0.0000 0.2527
# raw total energy = -0.3694 Ry/atom
# uncorrected formation energy = -1.3812 eV per atom



No. 5
# KCePt4 | the Alexandria database | GGA-PBE | relaxed
data_KCePt4
_chemical_formula_sum 'K1 Ce1 Pt4'
_symmetry_space_group_name_H-M 'P 1'
_symmetry_Int_Tables_number 1
_cell_length_a 5.5069
_cell_length_b 5.5069
_cell_length_c 5.5069
_cell_angle_alpha 60.00
_cell_angle_beta 60.00
_cell_angle_gamma 60.00
loop_
_symmetry_equiv_pos_as_xyz
'x,y,z'
loop_
_atom_site_label
_atom_site_fract_x
_atom_site_fract_y
_atom_site_fract_z
K1 0.0000 0.0000 0.0000
Ce1 0.7500 0.7500 0.7500
Pt1 0.3750 0.3750 0.3750
Pt2 0.3750 0.3750 0.8751
Pt3 0.3750 0.8751 0.3750
Pt4 0.8751 0.3750 0.3750
# raw total energy = -0.4307 Ry/atom
# energy relative to the elements = -4.0 eV/f.u.



No. 6
# KCePt10 | the Alexandria database | GGA-PBE | relaxed
data_KCePt10
_chemical_formula_sum 'K1 Ce1 Pt10'
_symmetry_space_group_name_H-M 'P 1'
_symmetry_Int_Tables_number 1
_cell_length_a 4.3974
_cell_length_b 5.4815
_cell_length_c 9.4166
_cell_angle_alpha 90.00
_cell_angle_beta 90.00
_cell_angle_gamma 90.00
loop_
_symmetry_equiv_pos_as_xyz
'x,y,z'
loop_
_atom_site_label
_atom_site_fract_x
_atom_site_fract_y
_atom_site_fract_z
K1 0.0000 0.0000 0.0000
Ce1 0.0000 0.5000 0.5000
Pt1 0.0000 0.0000 0.3365
Pt2 0.0000 0.0000 0.6635
Pt3 0.0000 0.5000 0.1731
Pt4 0.0000 0.5000 0.8269
Pt5 0.5000 0.0000 0.5000
Pt6 0.5000 0.2541 0.2565
Pt7 0.5000 0.2541 0.7435
Pt8 0.5000 0.5000 0.0000
Pt9 0.5000 0.7459 0.2565
Pt10 0.5000 0.7459 0.7435
# raw total energy = -0.4447 Ry/atom
# energy relative to the elements = -5.2 eV/f.u.



Among the records above, which one has the highest raw total energy? K4Ce3PrTe8



What is the formula in the sixth record? KCePt10



Look up the raw total energy of the first one. -0.3397 Ry/atom



Please write out number 5 again, unchanged.
# KCePt4 | the Alexandria database | GGA-PBE | relaxed
data_KCePt4
_chemical_formula_sum 'K1 Ce1 Pt4'
_symmetry_space_group_name_H-M 'P 1'
_symmetry_Int_Tables_number 1
_cell_length_a 5.5069
_cell_length_b 5.5069
_cell_length_c 5.5069
_cell_angle_alpha 60.00
_cell_angle_beta 60.00
_cell_angle_gamma 60.00
loop_
_symmetry_equiv_pos_as_xyz
'x,y,z'
loop_
_atom_site_label
_atom_site_fract_x
_atom_site_fract_y
_atom_site_fract_z
K1 0.0000 0.0000 0.0000
Ce1 0.7500 0.7500 0.7500
Pt1 0.3750 0.3750 0.3750
Pt2 0.3750 0.3750 0.8751
Pt3 0.3750 0.8751 0.3750
Pt4 0.8751 0.3750 0.3750
# raw total energy = -0.4307 Ry/atom
# energy relative to the elements = -4.0 eV/f.u.